The following is a DFT calculation (PBE-GGA) of Cs3NdI8 after structural relaxation.

For the uncorrected formation energy, the calculation gives -1.11 eV/atom. The spin magnetization comes out at 0.01 μB/cell. The total DFT energy (no corrections) is -2.76 eV per atom.

Lattice parameters (Å, degrees): 8.6536 8.6536 17.7995 90.00 90.00 90.00
Space group I4/mmm (No. 139)
Asymmetric unit:
Cs  0.0000  0.0000  0.0000 [2 per cell]
Cs  0.0000  0.5000  0.2500 [4 per cell]
Nd  0.0000  0.0000  0.5000 [2 per cell]
I  0.2184  0.2184  0.3911 [16 per cell]


The following is a DFT calculation (PBE-GGA) of LaMgRh3 after structural relaxation.

The offset from the most stable computed form is 671 meV per atom. The spin magnetization comes out at 0.00 μB/cell. The total DFT energy (no corrections) is -4.97 eV per atom. The calculation puts the formation energy at 741.2 meV/atom.

Lattice parameters (Å, degrees): 4.9250 4.9250 4.9250 90.00 90.00 90.00
Space group Pm-3m (No. 221)
Asymmetric unit:
La  0.0000  0.0000  0.0000 [1 per cell]
Mg  0.5000  0.5000  0.5000 [1 per cell]
Rh  0.0000  0.0000  0.5000 [3 per cell]


The following is a DFT calculation (PBE-GGA) of Sm2Y2H after structural relaxation.

The spin magnetization comes out at 0.00 μB/cell. The total DFT energy (no corrections) is -5.31 eV per atom.

Lattice parameters (Å, degrees): 5.0576 5.0576 5.0611 90.00 90.00 90.00
Space group P4/mmm (No. 123)
Asymmetric unit:
Sm  0.0000  0.0000  0.0000 [1 per cell]
Sm  0.5000  0.5000  0.0000 [1 per cell]
Y  0.0000  0.5000  0.5000 [2 per cell]
H  0.0000  0.0000  0.5000 [1 per cell]


The following is a DFT calculation (PBE-GGA) of MgGa2P2 after structural relaxation.

The spin magnetization comes out at 0.00 μB/cell. The total DFT energy (no corrections) is -3.71 eV per atom. The calculation puts the formation energy at -15.8 meV/atom.

Lattice parameters (Å, degrees): 7.0571 7.0571 3.6141 90.00 90.00 90.00
Space group P4/mbm (No. 127)
Asymmetric unit:
Mg  0.0000  0.0000  0.0000 [2 per cell]
Ga  0.1401  0.3599  0.5000 [4 per cell]
P  0.1752  0.6752  0.0000 [4 per cell]


The following is a DFT calculation (PBE-GGA) of Hf4ZnHg after structural relaxation.

The offset from the most stable computed form is 0 meV per atom. The spin magnetization comes out at 0.00 μB/cell. The total DFT energy (no corrections) is -7.05 eV per atom. The calculation puts the formation energy at -151.8 meV/atom.

Lattice parameters (Å, degrees): 3.2755 3.2755 11.6548 90.00 90.00 90.00
Space group P4/mmm (No. 123)
Asymmetric unit:
Hf  0.0000  0.0000  0.1508 [2 per cell]
Hf  0.5000  0.5000  0.3247 [2 per cell]
Zn  0.5000  0.5000  0.0000 [1 per cell]
Hg  0.0000  0.0000  0.5000 [1 per cell]


The following is a DFT calculation (PBE-GGA) of La2TePbO8 after structural relaxation.

For the uncorrected formation energy, the calculation gives -1.98 eV/atom. The spin magnetization comes out at 0.00 μB/cell. The total DFT energy (no corrections) is -6.68 eV per atom.

Lattice parameters (Å, degrees): 5.1341 5.1379 7.1031 90.59 90.59 93.47
Space group P-1 (No. 2)
Asymmetric unit:
La  0.0368  0.0363  0.2582 [2 per cell]
Te  0.5000  0.5000  0.5000 [1 per cell]
Pb  0.5000  0.5000  0.0000 [1 per cell]
O  0.2076  0.2088  0.9762 [2 per cell]
O  0.2265  0.2287  0.5325 [2 per cell]
O  0.2961  0.6469  0.2888 [2 per cell]
O  0.3546  0.7057  0.7109 [2 per cell]


The highest total DFT energy (no corrections) belongs to which entry? Cs3NdI8